Below is an optimized crystal structure of Lu4TlNi2Ge4, with properties calculated at the PBE level.

a b c (Å): 7.9644 7.9644 6.9792
angles (deg): 107.97 107.97 30.37
Sites, in units of the cell vectors:
Lu 0.0916 0.0916 0.3921
Lu 0.1563 0.1563 0.9374
Lu 0.8437 0.8437 0.0626
Lu 0.9084 0.9084 0.6079
Tl 0.5000 0.5000 0.0000
Ni 0.2823 0.2823 0.3596
Ni 0.7177 0.7177 0.6404
Ge 0.2971 0.2971 0.7333
Ge 0.4335 0.4335 0.3388
Ge 0.5665 0.5665 0.6612
Ge 0.7029 0.7029 0.2667

Results
Total magnetic moment (μB per cell): 0.0
Energy (eV per atom): -5.25
Crystal system: monoclinic